Computed, not measured: a geometry-optimized CdSb3Pt12 structure at the PBE level of DFT.

Cell and atoms, written as extended XYZ:
```
16
Lattice="4.0749 0.0000 0.0000 0.0000 4.0749 0.0000 0.0000 0.0000 16.2941" Properties=species:S:1:pos:R:3 pbc="T T T"
Cd 0.0000 0.0000 0.0000
Sb 0.0000 0.0000 3.9108
Sb 0.0000 0.0000 8.1470
Sb 0.0000 0.0000 12.3833
Pt 2.0375 2.0375 0.0000
Pt 2.0375 2.0375 4.1505
Pt 2.0375 2.0375 8.1470
Pt 2.0375 2.0375 12.1436
Pt 2.0375 0.0000 2.0410
Pt 2.0375 0.0000 6.1271
Pt 2.0375 0.0000 10.1670
Pt 2.0375 0.0000 14.2530
Pt 0.0000 2.0375 2.0410
Pt 0.0000 2.0375 6.1271
Pt 0.0000 2.0375 10.1670
Pt 0.0000 2.0375 14.2530
```

Summary:
**Calculated volume**: 270.6 Å³/cell
**ΔE_f (raw)**: -19.8 kJ per mole of atoms
**Calculated total energy**: -89.06 eV/cell
**N(E_F)**: 7.62 states/eV/cell